The following is a PBE calculation of a geometry-optimized TbPmZn structure, from the Alexandria database.

Geometry as POSCAR:
```
TbPmZn
1.0
3.634 0.000 0.000
0.000 3.634 0.000
-1.817 -1.817 6.156
Tb Pm Zn
1 1 1
direct
0.025 0.025 0.049
0.313 0.313 0.627
0.662 0.662 0.324
```

Properties
Distance to the lowest polymorph of the same formula in meV per atom: 0
D(E_F) in states/eV/cell: 3.81
Symmetry: I4mm (107)
Total magnetic moment in μB per cell: 0.01